A plane-wave DFT calculation with GGA-PBEsol was carried out for a geometry-optimized Cr2AsSe structure.

M_tot   0.633 μB per atom
Uncorrected formation energy   72 meV per atom
Symmetry   P4/mmm
N(E_F)   0.749 states/eV/atom
Distance to the lowest polymorph of the same formula   0.00 kcal/mol of atoms

Cell lengths 2.9903, 2.9903, 5.9988 Å; angles 90.00, 90.00, 90.00 degrees
Atoms (fractional coordinates):
Cr: 0.0000 0.0000 0.2407
Cr: 0.0000 0.0000 0.7593
As: 0.5000 0.5000 0.0000
Se: 0.5000 0.5000 0.5000


A plane-wave DFT calculation with GGA-PBEsol was carried out for a geometry-optimized Rb2TlFeSn structure.

Calculated formation energy   0.885 eV/atom
M_tot   0.427 μB per atom
Symmetry   P4/mmm
N(E_F)   1.290 states/eV/atom

Cell lengths 6.5740, 6.5740, 4.9694 Å; angles 90.00, 90.00, 90.00 degrees
Atoms (fractional coordinates):
Rb: 0.0000 0.5000 0.0000
Rb: 0.5000 0.0000 0.0000
Tl: 0.0000 0.0000 0.0000
Fe: 0.0000 0.0000 0.5000
Sn: 0.5000 0.5000 0.5000


A plane-wave DFT calculation with GGA-PBEsol was carried out for a geometry-optimized BeSbTe structure.

M_tot   0.000 μB per atom
Uncorrected formation energy   439 meV per atom
Symmetry   F-43m
N(E_F)   0.756 states/eV/atom
Distance to the lowest polymorph of the same formula   2.73 kcal/mol of atoms

Cell lengths 4.6182, 4.6182, 4.6182 Å; angles 60.00, 60.00, 60.00 degrees
Atoms (fractional coordinates):
Be: 0.0000 0.0000 0.0000
Sb: 0.7500 0.7500 0.7500
Te: 0.2500 0.2500 0.2500


A plane-wave DFT calculation with GGA-PBEsol was carried out for a geometry-optimized K2CrCo structure.

Calculated formation energy   0.872 eV/atom
M_tot   0.654 μB per atom
Symmetry   P4mm
N(E_F)   1.281 states/eV/atom
Distance to the lowest polymorph of the same formula   0.00 kcal/mol of atoms

Cell lengths 3.2208, 3.2208, 10.0830 Å; angles 90.00, 90.00, 90.00 degrees
Atoms (fractional coordinates):
K: 0.0000 0.0000 0.0000
K: 0.5000 0.5000 0.4173
Cr: 0.5000 0.5000 0.7330
Co: 0.0000 0.0000 0.6746


A plane-wave DFT calculation with GGA-PBEsol was carried out for a geometry-optimized Zr2SbSe structure.

M_tot   0.000 μB per atom
Uncorrected formation energy   -526 meV per atom
Symmetry   I-4m2
N(E_F)   1.187 states/eV/atom

Cell lengths 6.2436, 6.2436, 6.2436 Å; angles 143.29, 143.29, 52.89 degrees
Atoms (fractional coordinates):
Zr: 0.0000 0.0000 0.0000
Zr: 0.7500 0.2500 0.5000
Sb: 0.5000 0.5000 0.0000
Se: 0.2500 0.7500 0.5000


A plane-wave DFT calculation with GGA-PBEsol was carried out for a geometry-optimized MgCdNi structure.

Calculated formation energy   0.343 eV/atom
M_tot   0.000 μB per atom
Symmetry   F-43m
N(E_F)   0.524 states/eV/atom
Distance to the lowest polymorph of the same formula   9.61 kcal/mol of atoms

Cell lengths 4.3239, 4.3239, 4.3239 Å; angles 60.00, 60.00, 60.00 degrees
Atoms (fractional coordinates):
Mg: 0.0000 0.0000 0.0000
Cd: 0.2500 0.2500 0.2500
Ni: 0.5000 0.5000 0.5000


A plane-wave DFT calculation with GGA-PBEsol was carried out for a geometry-optimized La5Ge3O structure.

M_tot   0.000 μB per atom
Uncorrected formation energy   -1278 meV per atom
Symmetry   P6_3/mcm
N(E_F)   0.469 states/eV/atom

Cell lengths 8.8968, 8.8968, 6.5854 Å; angles 90.00, 90.00, 120.00 degrees
Atoms (fractional coordinates):
La: 0.0000 0.2280 0.2500
La: 0.0000 0.7720 0.7500
La: 0.2280 0.0000 0.2500
La: 0.2280 0.2280 0.7500
La: 0.3333 0.6667 0.0000
La: 0.3333 0.6667 0.5000
La: 0.6667 0.3333 0.0000
La: 0.6667 0.3333 0.5000
La: 0.7720 0.0000 0.7500
La: 0.7720 0.7720 0.2500
Ge: 0.0000 0.3996 0.7500
Ge: 0.0000 0.6004 0.2500
Ge: 0.3996 0.0000 0.7500
Ge: 0.3996 0.3996 0.2500
Ge: 0.6004 0.0000 0.2500
Ge: 0.6004 0.6004 0.7500
O: 0.0000 0.0000 0.0000
O: 0.0000 0.0000 0.5000


A plane-wave DFT calculation with GGA-PBEsol was carried out for a geometry-optimized BAsBr2N structure.

M_tot   0.550 μB per atom
Uncorrected formation energy   1572 meV per atom
Symmetry   P4/mmm
N(E_F)   0.379 states/eV/atom

Cell lengths 4.8777, 4.8777, 4.0698 Å; angles 90.00, 90.00, 90.00 degrees
Atoms (fractional coordinates):
B: 0.0000 0.0000 0.0000
As: 0.0000 0.0000 0.5000
Br: 0.0000 0.5000 0.0000
Br: 0.5000 0.0000 0.0000
N: 0.5000 0.5000 0.5000


A plane-wave DFT calculation with GGA-PBEsol was carried out for a geometry-optimized Ta2AsOs structure.

Calculated formation energy   0.145 eV/atom
M_tot   0.000 μB per atom
Symmetry   R3m
N(E_F)   1.008 states/eV/atom

Cell lengths 9.0560, 9.0560, 9.0560 Å; angles 18.46, 18.46, 18.46 degrees
Atoms (fractional coordinates):
Ta: 0.0000 0.0000 0.0000
Ta: 0.2403 0.2403 0.2403
As: 0.7508 0.7508 0.7508
Os: 0.4925 0.4925 0.4925


A plane-wave DFT calculation with GGA-PBEsol was carried out for a geometry-optimized SrSbAu4 structure.

M_tot   0.000 μB per atom
Uncorrected formation energy   -409 meV per atom
Symmetry   F-43m
N(E_F)   0.367 states/eV/atom

Cell lengths 5.6190, 5.6190, 5.6190 Å; angles 60.00, 60.00, 60.00 degrees
Atoms (fractional coordinates):
Sr: 0.0000 0.0000 0.0000
Sb: 0.7500 0.7500 0.7500
Au: 0.3749 0.3749 0.3749
Au: 0.3749 0.3749 0.8752
Au: 0.3749 0.8752 0.3749
Au: 0.8752 0.3749 0.3749


A plane-wave DFT calculation with GGA-PBEsol was carried out for a geometry-optimized Li8CeO6 structure.

M_tot   0.000 μB per atom
Uncorrected formation energy   -2170 meV per atom
Symmetry   R-3
N(E_F)   0.000 states/eV/atom

Cell lengths 6.2308, 6.2308, 6.2308 Å; angles 53.14, 53.14, 53.14 degrees
Atoms (fractional coordinates):
Li: 0.0024 0.7291 0.3977
Li: 0.1464 0.1464 0.1464
Li: 0.2709 0.6023 0.9976
Li: 0.3977 0.0024 0.7291
Li: 0.6023 0.9976 0.2709
Li: 0.7291 0.3977 0.0024
Li: 0.8536 0.8536 0.8536
Li: 0.9976 0.2709 0.6023
Ce: 0.5000 0.5000 0.5000
O: 0.1032 0.3996 0.7414
O: 0.2586 0.8968 0.6004
O: 0.3996 0.7414 0.1032
O: 0.6004 0.2586 0.8968
O: 0.7414 0.1032 0.3996
O: 0.8968 0.6004 0.2586


A plane-wave DFT calculation with GGA-PBEsol was carried out for a geometry-optimized NaBeSe3 structure.

M_tot   0.045 μB per atom
Uncorrected formation energy   1137 meV per atom
Symmetry   Pm-3m
N(E_F)   1.320 states/eV/atom

Cell lengths 4.9680, 4.9680, 4.9680 Å; angles 90.00, 90.00, 90.00 degrees
Atoms (fractional coordinates):
Na: 0.0000 0.0000 0.0000
Be: 0.5000 0.5000 0.5000
Se: 0.0000 0.0000 0.5000
Se: 0.0000 0.5000 0.0000
Se: 0.5000 0.0000 0.0000


Q: The highest N(E_F) belongs to which entry?
A: NaBeSe3